# 1
The following is a DFT calculation (PBE) of crystalline TbIn12Hg6 at its relaxed geometry.

Unit cell a=8.5046 b=8.5046 c=8.5046 alpha=106.95 beta=106.95 gamma=106.95
Last column: nearest neighbours and their distance in Å.
Positions (direct):
Tb 0.0000 0.0000 0.0000  6 Hg 3.17, 6 In 3.32
In 0.0407 0.2852 0.8035  4 In 3.05-3.39, 3 Hg 3.15-3.35, 1 Tb 3.32
In 0.1858 0.5193 0.6228  3 Hg 3.04-3.29, 5 In 3.05-3.35
In 0.1965 0.9593 0.7148  4 In 3.05-3.39, 3 Hg 3.15-3.35, 1 Tb 3.32
In 0.2852 0.8035 0.0407  4 In 3.05-3.39, 3 Hg 3.15-3.35, 1 Tb 3.32
In 0.3772 0.8142 0.4807  3 Hg 3.04-3.29, 5 In 3.05-3.35
In 0.4807 0.3772 0.8142  3 Hg 3.04-3.29, 5 In 3.05-3.35
In 0.5193 0.6228 0.1858  3 Hg 3.04-3.29, 5 In 3.05-3.35
In 0.6228 0.1858 0.5193  3 Hg 3.04-3.29, 5 In 3.05-3.35
In 0.7148 0.1965 0.9593  4 In 3.05-3.39, 3 Hg 3.15-3.35, 1 Tb 3.32
In 0.8035 0.0407 0.2852  4 In 3.05-3.39, 3 Hg 3.15-3.35, 1 Tb 3.32
In 0.8142 0.4807 0.3772  3 Hg 3.04-3.29, 5 In 3.05-3.35
In 0.9593 0.7148 0.1965  4 In 3.05-3.39, 3 Hg 3.15-3.35, 1 Tb 3.32
Hg 0.1460 0.4211 0.2219  6 In 3.04-3.35, 1 Tb 3.17, 2 Hg 3.36
Hg 0.2219 0.1460 0.4211  6 In 3.04-3.35, 1 Tb 3.17, 2 Hg 3.36
Hg 0.4211 0.2219 0.1460  6 In 3.04-3.35, 1 Tb 3.17, 2 Hg 3.36
Hg 0.5789 0.7781 0.8540  6 In 3.04-3.35, 1 Tb 3.17, 2 Hg 3.36
Hg 0.7781 0.8540 0.5789  6 In 3.04-3.35, 1 Tb 3.17, 2 Hg 3.36
Hg 0.8540 0.5789 0.7781  6 In 3.04-3.35, 1 Tb 3.17, 2 Hg 3.36

Summary:
The density of states at the Fermi level comes out at 0.448 states/eV/atom. The total energy is -2.11 eV per atom. As for the size of the total moment: 0.00 μB per cell. The calculation puts the formation enthalpy at 0 K at -0.04 eV/atom.

=====

# 2
The following is a DFT calculation (PBE) of crystalline Tb2InHg2 at its relaxed geometry.

Unit cell a=8.1165 b=8.1165 c=3.9608 alpha=90.00 beta=90.00 gamma=90.00
Last column: nearest neighbours and their distance in Å.
Positions (direct):
Tb 0.1711 0.3289 0.0000  6 Hg 3.03-3.16
Tb 0.3289 0.8289 0.0000  6 Hg 3.03-3.16
Tb 0.6711 0.1711 0.0000  6 Hg 3.03-3.16
Tb 0.8289 0.6711 0.0000  6 Hg 3.03-3.16
In 0.0000 0.0000 0.5000  4 Hg 3.19
In 0.5000 0.5000 0.5000  4 Hg 3.19
Hg 0.1293 0.6293 0.5000  1 Hg 2.97, 6 Tb 3.03-3.16, 2 In 3.19
Hg 0.3707 0.1293 0.5000  1 Hg 2.97, 6 Tb 3.03-3.16, 2 In 3.19
Hg 0.6293 0.8707 0.5000  1 Hg 2.97, 6 Tb 3.03-3.16, 2 In 3.19
Hg 0.8707 0.3707 0.5000  1 Hg 2.97, 6 Tb 3.03-3.16, 2 In 3.19

Summary:
The density of states at the Fermi level comes out at 0.489 states/eV/atom. The total energy is -2.97 eV per atom. As for the size of the total moment: 0.00 μB per cell. The calculation puts the formation enthalpy at 0 K at -0.45 eV/atom.

=====

# 3
The following is a DFT calculation (PBE) of crystalline TbIn5Hg8 at its relaxed geometry.

Unit cell a=8.0539 b=8.0539 c=8.4178 alpha=120.36 beta=120.36 gamma=60.34
Last column: nearest neighbours and their distance in Å.
Positions (direct):
Tb 0.0000 0.0000 0.0000  8 Hg 3.08-3.25, 4 In 3.30-3.43
In 0.1967 0.1375 0.8419  6 Hg 2.96-3.31, 1 In 3.16, 1 Tb 3.30
In 0.2866 0.6657 0.7012  5 Hg 3.03-3.35, 2 In 3.16-3.24
In 0.3343 0.7134 0.2988  5 Hg 3.03-3.35, 2 In 3.16-3.24
In 0.6336 0.3664 0.5000  6 Hg 3.09-3.31, 2 In 3.24
In 0.8625 0.8033 0.1581  6 Hg 2.96-3.31, 1 In 3.16, 1 Tb 3.30
Hg 0.0502 0.1908 0.4395  2 Hg 2.99-3.15, 1 Tb 3.09, 4 In 3.13-3.35
Hg 0.0807 0.5379 0.8198  3 In 2.96-3.31, 1 Hg 2.99, 1 Tb 3.08
Hg 0.1484 0.3979 0.2784  4 In 3.03-3.31, 3 Hg 3.15-3.34, 1 Tb 3.25
Hg 0.4621 0.9193 0.1802  3 In 2.96-3.31, 1 Hg 2.99, 1 Tb 3.08
Hg 0.5739 0.2788 0.0749  2 Hg 2.97-3.21, 3 In 3.08-3.14, 1 Tb 3.22
Hg 0.6021 0.8516 0.7216  4 In 3.03-3.31, 3 Hg 3.15-3.34, 1 Tb 3.25
Hg 0.7212 0.4261 0.9251  2 Hg 2.97-3.21, 3 In 3.08-3.14, 1 Tb 3.22
Hg 0.8092 0.9498 0.5605  2 Hg 2.99-3.15, 1 Tb 3.09, 4 In 3.13-3.35

Summary:
The density of states at the Fermi level comes out at 0.449 states/eV/atom. The total energy is -1.55 eV per atom. As for the size of the total moment: 0.00 μB per cell. The calculation puts the formation enthalpy at 0 K at -0.07 eV/atom.

=====

# 4
The following is a DFT calculation (PBE) of crystalline TbIn3Hg12 at its relaxed geometry.

Unit cell a=4.5506 b=4.5506 c=20.2320 alpha=90.00 beta=90.00 gamma=90.00
Last column: nearest neighbours and their distance in Å.
Positions (direct):
Tb 0.0000 0.0000 0.0000  12 Hg 3.22-3.30
In 0.0000 0.0000 0.2435  12 Hg 3.22-3.42
In 0.0000 0.0000 0.5000  12 Hg 3.22-3.48
In 0.0000 0.0000 0.7565  12 Hg 3.22-3.42
Hg 0.0000 0.5000 0.1181  8 Hg 3.22-3.39, 2 Tb 3.30, 2 In 3.41
Hg 0.0000 0.5000 0.3697  8 Hg 3.22-3.48, 4 In 3.42-3.48
Hg 0.0000 0.5000 0.6303  8 Hg 3.22-3.48, 4 In 3.42-3.48
Hg 0.0000 0.5000 0.8819  8 Hg 3.22-3.39, 2 Tb 3.30, 2 In 3.41
Hg 0.5000 0.0000 0.1181  8 Hg 3.22-3.39, 2 Tb 3.30, 2 In 3.41
Hg 0.5000 0.0000 0.3697  8 Hg 3.22-3.48, 4 In 3.42-3.48
Hg 0.5000 0.0000 0.6303  8 Hg 3.22-3.48, 4 In 3.42-3.48
Hg 0.5000 0.0000 0.8819  8 Hg 3.22-3.39, 2 Tb 3.30, 2 In 3.41
Hg 0.5000 0.5000 0.0000  4 Tb 3.22, 8 Hg 3.30
Hg 0.5000 0.5000 0.2424  4 In 3.22, 8 Hg 3.39-3.44
Hg 0.5000 0.5000 0.5000  4 In 3.22, 8 Hg 3.48
Hg 0.5000 0.5000 0.7576  4 In 3.22, 8 Hg 3.39-3.44

Summary:
The density of states at the Fermi level comes out at 0.335 states/eV/atom. The total energy is -1.11 eV per atom. As for the size of the total moment: 0.00 μB per cell. The calculation puts the formation enthalpy at 0 K at -0.08 eV/atom.

=====

# 5
The following is a DFT calculation (PBE) of crystalline Tb3In3Hg at its relaxed geometry.

Unit cell a=6.1624 b=6.1624 c=15.0769 alpha=107.02 beta=107.02 gamma=44.69
Last column: nearest neighbours and their distance in Å.
Positions (direct):
Tb 0.0282 0.0282 0.3768  6 In 3.22-3.46, 3 Hg 3.28-3.37
Tb 0.1029 0.1029 0.9240  7 In 3.17-3.45
Tb 0.2290 0.2290 0.2213  6 In 3.16-3.46, 2 Hg 3.28
Tb 0.7710 0.7710 0.7787  6 In 3.16-3.46, 2 Hg 3.28
Tb 0.8971 0.8971 0.0760  7 In 3.17-3.45
Tb 0.9718 0.9718 0.6232  6 In 3.22-3.46, 3 Hg 3.28-3.37
In 0.3655 0.3655 0.4601  3 Hg 2.83-3.08, 1 In 2.92
In 0.3816 0.3816 0.9259  2 In 2.91-2.94, 5 Tb 3.17-3.22
In 0.4917 0.4917 0.7738  1 Hg 2.88, 1 In 2.94, 3 Tb 3.16-3.22
In 0.5083 0.5083 0.2262  1 Hg 2.88, 1 In 2.94, 3 Tb 3.16-3.22
In 0.6184 0.6184 0.0741  2 In 2.91-2.94, 5 Tb 3.17-3.22
In 0.6345 0.6345 0.5399  3 Hg 2.83-3.08, 1 In 2.92
Hg 0.2599 0.2599 0.6243  4 In 2.83-3.08
Hg 0.7401 0.7401 0.3757  4 In 2.83-3.08

Summary:
The density of states at the Fermi level comes out at 0.760 states/eV/atom. The total energy is -3.63 eV per atom. As for the size of the total moment: 0.00 μB per cell. The calculation puts the formation enthalpy at 0 K at -0.43 eV/atom.

=====

# 6
The following is a DFT calculation (PBE) of crystalline TbInHg2 at its relaxed geometry.

Unit cell a=3.7170 b=3.7170 c=7.2890 alpha=90.00 beta=90.00 gamma=90.00
Last column: nearest neighbours and their distance in Å.
Positions (direct):
Tb 0.0000 0.0000 0.0000  8 Hg 3.21
In 0.0000 0.0000 0.5000  8 Hg 3.19
Hg 0.5000 0.5000 0.2520  4 In 3.19, 4 Tb 3.21
Hg 0.5000 0.5000 0.7480  4 In 3.19, 4 Tb 3.21

Summary:
The density of states at the Fermi level comes out at 0.571 states/eV/atom. The total energy is -2.28 eV per atom. As for the size of the total moment: 0.29 μB per cell. The calculation puts the formation enthalpy at 0 K at -0.28 eV/atom.

=====

# 7
The following is a DFT calculation (PBE) of crystalline TbIn3Hg at its relaxed geometry.

Unit cell a=7.2760 b=7.2760 c=5.6778 alpha=90.00 beta=90.00 gamma=98.08
Last column: nearest neighbours and their distance in Å.
Positions (direct):
Tb 0.2269 0.7731 0.7500  3 Hg 3.13-3.39, 8 In 3.13-3.38
Tb 0.7731 0.2269 0.2500  3 Hg 3.13-3.39, 8 In 3.13-3.38
In 0.1269 0.5273 0.2500  5 In 3.09-3.38, 1 Hg 3.13, 3 Tb 3.13-3.38
In 0.4727 0.8731 0.2500  5 In 3.09-3.38, 1 Hg 3.13, 3 Tb 3.13-3.38
In 0.5000 0.5000 0.0000  6 In 2.84-3.09
In 0.5000 0.5000 0.5000  6 In 2.84-3.09
In 0.5273 0.1269 0.7500  5 In 3.09-3.38, 1 Hg 3.13, 3 Tb 3.13-3.38
In 0.8731 0.4727 0.7500  5 In 3.09-3.38, 1 Hg 3.13, 3 Tb 3.13-3.38
Hg 0.0577 0.9423 0.2500  2 Hg 3.11, 3 Tb 3.13-3.39, 2 In 3.13
Hg 0.9423 0.0577 0.7500  2 Hg 3.11, 3 Tb 3.13-3.39, 2 In 3.13

Summary:
The density of states at the Fermi level comes out at 0.548 states/eV/atom. The total energy is -2.72 eV per atom. As for the size of the total moment: 0.00 μB per cell. The calculation puts the formation enthalpy at 0 K at -0.09 eV/atom.

=====

# 8
The following is a DFT calculation (PBE) of crystalline TbIn2Hg2 at its relaxed geometry.

Unit cell a=5.1156 b=5.1156 c=12.5256 alpha=90.00 beta=90.00 gamma=120.00
Last column: nearest neighbours and their distance in Å.
Positions (direct):
Tb 0.0000 0.0000 0.2500  5 In 2.95-3.13
Tb 0.0000 0.0000 0.7500  5 In 2.95-3.13
In 0.0000 0.0000 0.0000  2 Tb 3.13, 6 Hg 3.30
In 0.0000 0.0000 0.5000  2 Tb 3.13, 6 Hg 3.30
In 0.3333 0.6667 0.2500  3 Tb 2.95
In 0.6667 0.3333 0.7500  3 Tb 2.95
Hg 0.3333 0.6667 0.6184  1 Hg 3.30, 6 In 3.30-3.38, 3 Tb 3.38
Hg 0.3333 0.6667 0.8816  1 Hg 3.30, 6 In 3.30-3.38, 3 Tb 3.38
Hg 0.6667 0.3333 0.1184  1 Hg 3.30, 6 In 3.30-3.38, 3 Tb 3.38
Hg 0.6667 0.3333 0.3816  1 Hg 3.30, 6 In 3.30-3.38, 3 Tb 3.38

Summary:
The density of states at the Fermi level comes out at 0.808 states/eV/atom. The total energy is -2.18 eV per atom. As for the size of the total moment: 0.00 μB per cell. The calculation puts the formation enthalpy at 0 K at -0.04 eV/atom.